Crystalline CoIrO3 at its relaxed geometry. Source: the Alexandria database, functional PBE with a Hubbard U.

- Magnetic moment: 0.02 μB/atom
- E: -5.34 eV per atom
- Calculated volume: 9.682 Å³ per atom

abc: 3.6446 3.6446 3.6446
angles: 90.00 90.00 90.00
Last column: nearest neighbours and their distance in Å.
Space group Pm-3m (No. 221)
Unique sites:
Co: 0.0000 0.0000 0.0000  6 O 1.82
Ir: 0.5000 0.5000 0.5000  12 O 2.58
O: 0.0000 0.0000 0.5000  2 Co 1.82